Record 1
# Tb2GeB2Ru5

A relaxed structure of Tb2GeB2Ru5 (PBE-GGA, the Alexandria database).

Results
Fermi-level density of states = 18.0 states/eV per cell
magnetic moment = 0.00 μB/f.u.
V = 285.8 Å³/cell
crystal system = tetragonal
energy of formation = -0.48 eV per atom

Lattice parameters (Å, degrees): 9.5862 9.5862 3.1103 90.00 90.00 90.00
Sites, in units of the cell vectors:
Tb1 0.1762 0.3238 0.0000
Tb2 0.3238 0.8238 0.0000
Tb3 0.6762 0.1762 0.0000
Tb4 0.8238 0.6762 0.0000
Ge1 0.0000 0.0000 0.0000
Ge2 0.5000 0.5000 0.0000
B1 0.1226 0.6226 0.0000
B2 0.3774 0.1226 0.0000
B3 0.6226 0.8774 0.0000
B4 0.8774 0.3774 0.0000
Ru1 0.0000 0.5000 0.5000
Ru2 0.0683 0.7836 0.5000
Ru3 0.2164 0.0683 0.5000
Ru4 0.2836 0.5683 0.5000
Ru5 0.4317 0.2836 0.5000
Ru6 0.5000 0.0000 0.5000
Ru7 0.5683 0.7164 0.5000
Ru8 0.7164 0.4317 0.5000
Ru9 0.7836 0.9317 0.5000
Ru10 0.9317 0.2164 0.5000


Record 2
# LaPm3Ir

A relaxed structure of LaPm3Ir (PBE-GGA, the Alexandria database).

Results
Fermi-level density of states = 12.1 states/eV per cell
magnetic moment = 0.00 μB/f.u.
V = 328.8 Å³/cell
crystal system = orthorhombic
energy of formation = -0.34 eV per atom

Lattice parameters (Å, degrees): 7.5348 7.5348 7.5348 108.53 111.93 107.98
Sites, in units of the cell vectors:
La1 0.0397 0.2500 0.2897
La2 0.9603 0.7500 0.7103
Pm1 0.0967 0.3545 0.8450
Pm2 0.0967 0.7517 0.2422
Pm3 0.5095 0.2517 0.1550
Pm4 0.5095 0.8545 0.7578
Pm5 0.5602 0.3537 0.7065
Pm6 0.6472 0.8537 0.2935
Ir1 0.1846 0.0489 0.6357
Ir2 0.4133 0.5489 0.3643


Record 3
# Ca2PmZn4

A relaxed structure of Ca2PmZn4 (PBE-GGA, the Alexandria database).

Results
Fermi-level density of states = 5.9 states/eV per cell
magnetic moment = 0.00 μB/f.u.
V = 170.1 Å³/cell
crystal system = orthorhombic
energy of formation = -0.28 eV per atom

Lattice parameters (Å, degrees): 10.2272 10.2272 10.2272 158.20 154.61 33.70
Sites, in units of the cell vectors:
Ca1 0.1890 0.1890 0.0000
Ca2 0.8110 0.8110 0.0000
Pm1 0.5000 0.0000 0.5000
Zn1 0.0648 0.5648 0.5000
Zn2 0.3661 0.3661 0.0000
Zn3 0.6339 0.6339 0.0000
Zn4 0.9352 0.4352 0.5000


Record 4
# HgPtCl2

A relaxed structure of HgPtCl2 (PBE-GGA, the Alexandria database).

Results
uncorrected formation energy = -0.171 eV/atom
magnetic moment = 0.00 μB/f.u.
V = 120.4 Å³/cell
crystal system = orthorhombic

Lattice parameters (Å, degrees): 6.1591 6.1591 6.1591 147.44 98.27 90.77
Sites, in units of the cell vectors:
Hg1 0.0000 0.0000 0.0000
Pt1 0.7665 0.2665 0.5000
Cl1 0.2192 0.7192 0.5000
Cl2 0.5917 0.5917 0.0000


Record 5
# BrF

A relaxed structure of BrF (PBE-GGA, the Alexandria database).

Results
uncorrected formation energy = -0.385 eV/atom
magnetic moment = 0.00 μB/f.u.
V = 494.6 Å³/cell
crystal system = tetragonal

Lattice parameters (Å, degrees): 10.6604 10.6604 4.3525 90.00 90.00 90.00
Sites, in units of the cell vectors:
Br1 0.0258 0.2175 0.0000
Br2 0.2175 0.9742 0.0000
Br3 0.2834 0.5343 0.5000
Br4 0.4657 0.2834 0.5000
Br5 0.5343 0.7166 0.5000
Br6 0.7166 0.4657 0.5000
Br7 0.7825 0.0258 0.0000
Br8 0.9742 0.7825 0.0000
F1 0.1494 0.7642 0.0000
F2 0.2358 0.1494 0.0000
F3 0.2580 0.3601 0.5000
F4 0.3601 0.7420 0.5000
F5 0.6399 0.2580 0.5000
F6 0.7420 0.6399 0.5000
F7 0.7642 0.8506 0.0000
F8 0.8506 0.2358 0.0000


Record 6
# MgSc2Pb3

A relaxed structure of MgSc2Pb3 (PBE-GGA, the Alexandria database).

Results
Fermi-level density of states = 6.3 states/eV per cell
magnetic moment = 0.00 μB/f.u.
V = 300.2 Å³/cell
crystal system = monoclinic
energy of formation = -0.26 eV per atom

Lattice parameters (Å, degrees): 8.6563 8.6563 6.1583 99.72 99.72 41.41
Sites, in units of the cell vectors:
Mg1 0.0910 0.9090 0.7500
Mg2 0.9090 0.0910 0.2500
Sc1 0.2031 0.4674 0.9171
Sc2 0.4674 0.2031 0.4171
Sc3 0.5326 0.7969 0.5829
Sc4 0.7969 0.5326 0.0829
Pb1 0.0387 0.2998 0.5790
Pb2 0.2998 0.0387 0.0790
Pb3 0.4083 0.5917 0.2500
Pb4 0.5917 0.4083 0.7500
Pb5 0.7002 0.9613 0.9210
Pb6 0.9613 0.7002 0.4210


Record 7
# CrBTeAuI

A relaxed structure of CrBTeAuI (PBE-GGA, the Alexandria database).

Results
uncorrected formation energy = 0.282 eV/atom
Fermi-level density of states = 1.6 states/eV per cell
magnetic moment = 2.99 μB/f.u.
V = 139.2 Å³/cell
crystal system = triclinic

Lattice parameters (Å, degrees): 4.0647 6.0199 6.1089 71.68 79.08 88.85
Sites, in units of the cell vectors:
Cr1 0.0000 0.0000 0.0000
B1 0.4811 0.9705 0.1262
Te1 0.5418 0.3172 0.8269
Au1 0.5176 0.6728 0.0033
I1 0.1061 0.9327 0.4565


Record 8
# Fe2HgPt

A relaxed structure of Fe2HgPt (PBE-GGA, the Alexandria database).

Results
Fermi-level density of states = 2.7 states/eV per cell
magnetic moment = 6.10 μB/f.u.
V = 61.5 Å³/cell
crystal system = tetragonal
energy of formation = 0.13 eV per atom

Lattice parameters (Å, degrees): 2.8119 2.8119 7.7832 90.00 90.00 90.00
Sites, in units of the cell vectors:
Fe1 0.0000 0.0000 0.2302
Fe2 0.0000 0.0000 0.7698
Hg1 0.5000 0.5000 0.5000
Pt1 0.5000 0.5000 0.0000


Record 9
# TaGe3Bi

A relaxed structure of TaGe3Bi (PBE-GGA, the Alexandria database).

Results
Fermi-level density of states = 4.6 states/eV per cell
magnetic moment = 0.00 μB/f.u.
V = 130.6 Å³/cell
crystal system = cubic
energy of formation = 0.50 eV per atom

Lattice parameters (Å, degrees): 5.0738 5.0738 5.0738 90.00 90.00 90.00
Sites, in units of the cell vectors:
Ta1 0.0000 0.0000 0.0000
Ge1 0.0000 0.0000 0.5000
Ge2 0.0000 0.5000 0.0000
Ge3 0.5000 0.0000 0.0000
Bi1 0.5000 0.5000 0.5000


Record 10
# Ba8P3PtI4

A relaxed structure of Ba8P3PtI4 (PBE-GGA, the Alexandria database).

Results
uncorrected formation energy = -1.338 eV/atom
Fermi-level density of states = 6.7 states/eV per cell
magnetic moment = 0.96 μB/f.u.
V = 656.9 Å³/cell
crystal system = monoclinic

Lattice parameters (Å, degrees): 9.4890 9.4890 10.0511 118.16 118.16 59.96
Sites, in units of the cell vectors:
Ba1 0.2319 0.7335 0.6989
Ba2 0.2336 0.2336 0.7008
Ba3 0.2655 0.2655 0.3001
Ba4 0.2665 0.7681 0.3011
Ba5 0.7335 0.2319 0.6989
Ba6 0.7345 0.7345 0.6999
Ba7 0.7664 0.7664 0.2992
Ba8 0.7681 0.2665 0.3011
P1 0.0000 0.0000 0.5000
P2 0.0000 0.5000 0.5000
P3 0.5000 0.0000 0.5000
Pt1 0.5000 0.5000 0.5000
I1 0.0000 0.0000 0.0000
I2 0.0000 0.5000 0.0000
I3 0.5000 0.0000 0.0000
I4 0.5000 0.5000 0.0000


Record 11
# Y2ScW

A relaxed structure of Y2ScW (PBE-GGA, the Alexandria database).

Results
Fermi-level density of states = 6.1 states/eV per cell
magnetic moment = 0.01 μB/f.u.
V = 96.7 Å³/cell
crystal system = orthorhombic
energy of formation = 0.47 eV per atom

Lattice parameters (Å, degrees): 3.1465 4.6884 6.5565 90.00 90.00 90.00
Sites, in units of the cell vectors:
Y1 0.0000 0.0000 0.2305
Y2 0.0000 0.0000 0.7695
Sc1 0.5000 0.5000 0.5000
W1 0.5000 0.5000 0.0000


Record 12
# NaAg3O3

A relaxed structure of NaAg3O3 (PBE-GGA, the Alexandria database).

Results
uncorrected formation energy = -0.259 eV/atom
Fermi-level density of states = 12.9 states/eV per cell
magnetic moment = 0.37 μB/f.u.
V = 219.2 Å³/cell
crystal system = trigonal

Lattice parameters (Å, degrees): 7.5375 7.5375 7.5375 48.35 48.35 48.35
Sites, in units of the cell vectors:
Na1 0.1671 0.1671 0.1671
Na2 0.8329 0.8329 0.8329
Ag1 0.1386 0.6615 0.3972
Ag2 0.3385 0.6028 0.8614
Ag3 0.3972 0.1386 0.6615
Ag4 0.6028 0.8614 0.3385
Ag5 0.6615 0.3972 0.1386
Ag6 0.8614 0.3385 0.6028
O1 0.0287 0.4192 0.8037
O2 0.1963 0.9713 0.5808
O3 0.4192 0.8037 0.0288
O4 0.5808 0.1963 0.9713
O5 0.8037 0.0287 0.4192
O6 0.9713 0.5808 0.1963


Record 13
# TlS2I2

A relaxed structure of TlS2I2 (PBE-GGA, the Alexandria database).

Results
uncorrected formation energy = 0.279 eV/atom
Fermi-level density of states = 1.6 states/eV per cell
magnetic moment = 0.00 μB/f.u.
V = 194.7 Å³/cell
crystal system = tetragonal

Lattice parameters (Å, degrees): 7.1866 7.1866 7.1866 133.05 133.05 68.58
Sites, in units of the cell vectors:
Tl1 0.0000 0.0000 0.0000
S1 0.2500 0.7500 0.5000
S2 0.7500 0.2500 0.5000
I1 0.2760 0.2760 0.0000
I2 0.7240 0.7240 0.0000


Record 14
# Pm5Sb4S

A relaxed structure of Pm5Sb4S (PBE-GGA, the Alexandria database).

Results
uncorrected formation energy = -1.317 eV/atom
Fermi-level density of states = 2.3 states/eV per cell
magnetic moment = 0.00 μB/f.u.
V = 304.5 Å³/cell
crystal system = tetragonal

Lattice parameters (Å, degrees): 15.8659 15.8659 15.8659 163.97 163.97 22.74
Sites, in units of the cell vectors:
Pm1 0.0000 0.0000 0.0000
Pm2 0.2005 0.2005 0.0000
Pm3 0.4061 0.4061 0.0000
Pm4 0.5939 0.5939 0.0000
Pm5 0.7995 0.7995 0.0000
Sb1 0.0987 0.0987 0.0000
Sb2 0.3027 0.3027 0.0000
Sb3 0.6973 0.6973 0.0000
Sb4 0.9013 0.9013 0.0000
S1 0.5000 0.5000 0.0000


Record 15
# K2RbUSe6

A relaxed structure of K2RbUSe6 (PBE-GGA, the Alexandria database).

Results
uncorrected formation energy = -0.748 eV/atom
Fermi-level density of states = 5.7 states/eV per cell
magnetic moment = 2.73 μB/f.u.
V = 416.9 Å³/cell
crystal system = cubic

Lattice parameters (Å, degrees): 8.3850 8.3850 8.3850 60.00 60.00 60.00
Sites, in units of the cell vectors:
K1 0.2500 0.2500 0.2500
K2 0.7500 0.7500 0.7500
Rb1 0.0000 0.0000 0.0000
U1 0.5000 0.5000 0.5000
Se1 0.2768 0.2768 0.7232
Se2 0.2768 0.7232 0.2768
Se3 0.2768 0.7232 0.7232
Se4 0.7232 0.2768 0.2768
Se5 0.7232 0.2768 0.7232
Se6 0.7232 0.7232 0.2768


Record 16
# PmPb3

A relaxed structure of PmPb3 (PBE-GGA, the Alexandria database).

Results
Fermi-level density of states = 3.6 states/eV per cell
magnetic moment = 0.00 μB/f.u.
V = 125.7 Å³/cell
crystal system = cubic
energy of formation = -0.16 eV per atom

Lattice parameters (Å, degrees): 5.6222 5.6222 5.6222 60.00 60.00 60.00
Sites, in units of the cell vectors:
Pm1 0.0000 0.0000 0.0000
Pb1 0.2500 0.2500 0.2500
Pb2 0.5000 0.5000 0.5000
Pb3 0.7500 0.7500 0.7500


Record 17
# LiTb3Ga2

A relaxed structure of LiTb3Ga2 (PBE-GGA, the Alexandria database).

Results
Fermi-level density of states = 10.2 states/eV per cell
magnetic moment = 0.00 μB/f.u.
V = 282.6 Å³/cell
crystal system = trigonal
energy of formation = -0.42 eV per atom

Lattice parameters (Å, degrees): 5.1010 5.1010 12.5409 90.00 90.00 120.00
Sites, in units of the cell vectors:
Li1 0.3333 0.6667 0.1731
Li2 0.6667 0.3333 0.8269
Tb1 0.0000 0.0000 0.2567
Tb2 0.0000 0.0000 0.7433
Tb3 0.3333 0.6667 0.4217
Tb4 0.3333 0.6667 0.9179
Tb5 0.6667 0.3333 0.0821
Tb6 0.6667 0.3333 0.5783
Ga1 0.0000 0.0000 0.0000
Ga2 0.0000 0.0000 0.5000
Ga3 0.3333 0.6667 0.6790
Ga4 0.6667 0.3333 0.3210


Record 18
# KTaSe3

A relaxed structure of KTaSe3 (PBE-GGA, the Alexandria database).

Results
uncorrected formation energy = -0.768 eV/atom
Fermi-level density of states = 1.8 states/eV per cell
magnetic moment = 0.00 μB/f.u.
V = 134.0 Å³/cell
crystal system = cubic

Lattice parameters (Å, degrees): 5.1174 5.1174 5.1174 90.00 90.00 90.00
Sites, in units of the cell vectors:
K1 0.0000 0.0000 0.0000
Ta1 0.5000 0.5000 0.5000
Se1 0.0000 0.5000 0.5000
Se2 0.5000 0.0000 0.5000
Se3 0.5000 0.5000 0.0000


Record 19
# MoOsSCl2

A relaxed structure of MoOsSCl2 (PBE-GGA, the Alexandria database).

Results
uncorrected formation energy = 0.909 eV/atom
Fermi-level density of states = 3.2 states/eV per cell
magnetic moment = 4.94 μB/f.u.
V = 111.6 Å³/cell
crystal system = tetragonal

Lattice parameters (Å, degrees): 5.0425 5.0425 4.3879 90.00 90.00 90.00
Sites, in units of the cell vectors:
Mo1 0.0000 0.0000 0.0000
Os1 0.5000 0.5000 0.5000
S1 0.5000 0.5000 0.0000
Cl1 0.0000 0.5000 0.5000
Cl2 0.5000 0.0000 0.5000


Record 20
# Nd8CuAu2

A relaxed structure of Nd8CuAu2 (PBE-GGA, the Alexandria database).

Results
Fermi-level density of states = 14.4 states/eV per cell
magnetic moment = 0.00 μB/f.u.
V = 334.3 Å³/cell
crystal system = monoclinic
energy of formation = -0.24 eV per atom

Lattice parameters (Å, degrees): 10.2829 10.2829 5.7115 99.46 99.46 140.64
Sites, in units of the cell vectors:
Nd1 0.0000 0.0000 0.0000
Nd2 0.1045 0.4948 0.1193
Nd3 0.1195 0.8870 0.4906
Nd4 0.4948 0.1045 0.1193
Nd5 0.4951 0.7415 0.7752
Nd6 0.5484 0.5484 0.2117
Nd7 0.7415 0.4951 0.7752
Nd8 0.8870 0.1195 0.4906
Cu1 0.3373 0.3373 0.5846
Au1 0.0499 0.5544 0.6163
Au2 0.5544 0.0499 0.6163


Record 21
# Pm5Ho2Hg4

A relaxed structure of Pm5Ho2Hg4 (PBE-GGA, the Alexandria database).

Results
Fermi-level density of states = 13.7 states/eV per cell
magnetic moment = 0.00 μB/f.u.
V = 334.0 Å³/cell
crystal system = monoclinic
energy of formation = -0.07 eV per atom

Lattice parameters (Å, degrees): 11.5878 11.5878 8.1995 103.18 103.18 18.16
Sites, in units of the cell vectors:
Pm1 0.0000 0.0000 0.0000
Pm2 0.3282 0.3282 0.5514
Pm3 0.3764 0.3764 0.0279
Pm4 0.6236 0.6236 0.9721
Pm5 0.6718 0.6718 0.4486
Ho1 0.2285 0.2285 0.8176
Ho2 0.7715 0.7715 0.1824
Hg1 0.0869 0.0869 0.6396
Hg2 0.4720 0.4720 0.6772
Hg3 0.5280 0.5280 0.3228
Hg4 0.9131 0.9131 0.3604


Record 22
# Nb3BMo

A relaxed structure of Nb3BMo (PBE-GGA, the Alexandria database).

Results
Fermi-level density of states = 4.3 states/eV per cell
magnetic moment = 0.00 μB/f.u.
V = 109.9 Å³/cell
crystal system = cubic
energy of formation = 2.04 eV per atom

Lattice parameters (Å, degrees): 4.7897 4.7897 4.7897 90.00 90.00 90.00
Sites, in units of the cell vectors:
Nb1 0.0000 0.0000 0.5000
Nb2 0.0000 0.5000 0.0000
Nb3 0.5000 0.0000 0.0000
B1 0.5000 0.5000 0.5000
Mo1 0.0000 0.0000 0.0000


Record 23
# PrY2Er7

A relaxed structure of PrY2Er7 (PBE-GGA, the Alexandria database).

Results
Fermi-level density of states = 16.3 states/eV per cell
magnetic moment = 0.00 μB/f.u.
V = 389.8 Å³/cell
crystal system = orthorhombic
energy of formation = 0.72 eV per atom

Lattice parameters (Å, degrees): 9.4647 9.4647 5.3657 90.00 90.00 125.80
Sites, in units of the cell vectors:
Pr1 0.0000 0.0000 0.0000
Y1 0.2973 0.7027 0.5000
Y2 0.7027 0.2973 0.5000
Er1 0.0663 0.2882 0.5000
Er2 0.2016 0.7984 0.0000
Er3 0.2882 0.0663 0.5000
Er4 0.5000 0.5000 0.5000
Er5 0.7118 0.9337 0.5000
Er6 0.7984 0.2016 0.0000
Er7 0.9337 0.7118 0.5000